The following is a PBE calculation of crystalline FeAsAu2 at its relaxed geometry, from Alexandria via LeMat-Bulk.

```
data_FeAsAu2
_chemical_formula_sum 'Fe1 As1 Au2'
_cell_length_a 3.976
_cell_length_b 3.976
_cell_length_c 4.317
_cell_angle_alpha 90.00
_cell_angle_beta 90.00
_cell_angle_gamma 90.00
_symmetry_space_group_name_H-M 'P 4/m m m'
_symmetry_Int_Tables_number 123
_symmetry_space_group_name_Hall '-P 4 2'
loop_
_atom_site_label
_atom_site_type_symbol
_atom_site_fract_x
_atom_site_fract_y
_atom_site_fract_z
Fe1 Fe 0.000 0.000 0.000
As1 As 0.500 0.500 0.000
Au1 Au 0.000 0.500 0.500
```

## Properties
Fermi-level density of states = 0.9810 states/eV/atom
total magnetization = 3.306 μB per cell

The following is a PBE calculation of crystalline TaMn2Tc at its relaxed geometry, from Alexandria via LeMat-Bulk.

```
data_TaMn2Tc
_chemical_formula_sum 'Ta2 Mn4 Tc2'
_cell_length_a 3.817
_cell_length_b 3.817
_cell_length_c 7.919
_cell_angle_alpha 90.00
_cell_angle_beta 90.00
_cell_angle_gamma 90.00
_symmetry_space_group_name_H-M 'I -4 m 2'
_symmetry_Int_Tables_number 119
_symmetry_space_group_name_Hall 'I -4 -2'
loop_
_atom_site_label
_atom_site_type_symbol
_atom_site_fract_x
_atom_site_fract_y
_atom_site_fract_z
Ta1 Ta 0.000 0.000 0.000
Mn1 Mn 0.000 0.000 0.500
Mn2 Mn 0.000 0.500 0.250
Tc1 Tc 0.000 0.500 0.750
```

## Properties
Fermi-level density of states = 1.4849 states/eV/atom
distance to the lowest polymorph of the same formula = 163 meV/atom
total magnetization = 0.828 μB per cell

| no. | electronic total energy (eV/atom) | ΔE_f (eV/atom) | V (A^3/atom) |
| --- | --- | --- | --- |
| 1 | -4.650 | 0.27 | 17.1 |
| 2 | -10.041 | 0.10 | 14.4 |